#i
A plane-wave DFT calculation with PBE-GGA was carried out for a geometry-optimized La3TbDy2 structure.

Properties
- space group = Immm (71)
- crystal system = orthorhombic

Cell: 3.492 6.016 10.483 Å, 106.68 99.59 90.00°
Fractional positions:
1 Tb 0.000 0.000 0.000
2 Dy 0.363 0.363 0.726
3 Dy 0.637 0.637 0.274
4 La 0.188 0.188 0.376
5 La 0.812 0.812 0.624
6 La 0.000 0.500 0.000



#ii
A plane-wave DFT calculation with PBE-GGA was carried out for a geometry-optimized La3TbDy2 structure.

Properties
- space group = C2/m (12)
- crystal system = monoclinic

Cell: 7.217 6.345 12.967 Å, 70.92 46.87 72.91°
Fractional positions:
1 La 0.166 0.250 0.417
2 La 0.500 0.250 0.750
3 La 0.167 0.750 0.917
4 La 0.833 0.250 0.083
5 La 0.500 0.750 0.250
6 La 0.834 0.750 0.583
7 Tb 0.000 0.250 0.750
8 Tb 0.000 0.750 0.250
9 Dy 0.333 0.250 0.083
10 Dy 0.334 0.750 0.583
11 Dy 0.666 0.250 0.417
12 Dy 0.667 0.750 0.917



Bottom line: #ii, by a margin of 0.306 eV/atom.



#i
A plane-wave DFT calculation with PBE-GGA was carried out for a geometry-optimized LaTb7Dy3 structure.

Properties
- space group = P3m1 (156)
- crystal system = trigonal

Cell: 8.645 7.092 7.092 Å, 120.00 90.00 90.00°
Fractional positions:
1 La 0.445 0.333 0.667
2 Tb 0.115 0.665 0.832
3 Tb 0.450 0.832 0.664
4 Tb 0.450 0.832 0.168
5 Tb 0.115 0.168 0.832
6 Tb 0.115 0.168 0.335
7 Tb 0.450 0.336 0.168
8 Tb 0.120 0.667 0.333
9 Dy 0.785 0.501 0.499
10 Dy 0.785 0.998 0.499
11 Dy 0.785 0.501 0.002



#ii
A plane-wave DFT calculation with PBE-GGA was carried out for a geometry-optimized LaTb7Dy3 structure.

Properties
- space group = P2/m (10)
- crystal system = monoclinic

Cell: 5.584 9.904 8.942 Å, 105.02 128.63 90.00°
Fractional positions:
1 Tb 0.145 0.289 0.645
2 Tb 0.500 0.000 0.500
3 Tb 0.855 0.711 0.355
4 Tb 0.075 0.168 0.075
5 Tb 0.328 0.643 0.828
6 Tb 0.925 0.832 0.925
7 Tb 0.672 0.357 0.172
8 Dy 0.723 0.003 0.223
9 Dy 0.000 0.500 0.000
10 Dy 0.277 0.997 0.777
11 La 0.500 0.500 0.500



Bottom line: #ii, by a margin of 0.060 eV/atom.



#i
A plane-wave DFT calculation with PBE-GGA was carried out for a geometry-optimized La4Tb3Dy4 structure.

Properties
- space group = P-1 (2)
- crystal system = triclinic

Cell: 3.538 5.750 18.355 Å, 80.98 84.47 89.99°
Fractional positions:
1 Tb 0.136 0.637 0.728
2 Tb 0.864 0.363 0.272
3 Tb 0.000 0.000 0.000
4 Dy 0.682 0.182 0.637
5 Dy 0.318 0.818 0.363
6 Dy 0.455 0.455 0.090
7 Dy 0.545 0.545 0.910
8 La 0.731 0.731 0.539
9 La 0.269 0.269 0.461
10 La 0.592 0.092 0.817
11 La 0.408 0.908 0.183



#ii
A plane-wave DFT calculation with PBE-GGA was carried out for a geometry-optimized La4Tb3Dy4 structure.

Properties
- space group = Immm (71)
- crystal system = orthorhombic

Cell: 3.618 9.541 12.166 Å, 113.09 98.55 90.00°
Fractional positions:
1 Dy 0.500 0.185 0.000
2 Dy 0.265 0.765 0.530
3 Dy 0.735 0.235 0.470
4 Dy 0.500 0.815 0.000
5 Tb 0.000 0.500 0.000
6 Tb 0.896 0.896 0.791
7 Tb 0.104 0.104 0.209
8 La 0.646 0.815 0.291
9 La 0.354 0.185 0.709
10 La 0.646 0.476 0.291
11 La 0.354 0.524 0.709



Bottom line: #i, by a margin of 0.059 eV/atom.



#i
A plane-wave DFT calculation with PBE-GGA was carried out for a geometry-optimized LaTb3Dy3 structure.

Properties
- space group = Cm (8)
- crystal system = monoclinic

Cell: 17.429 8.307 10.719 Å, 89.63 128.70 118.98°
Fractional positions:
1 Tb 0.265 0.237 0.780
2 Tb 0.767 0.222 0.238
3 Tb 0.737 0.490 0.000
4 Tb 0.976 0.766 0.433
5 Tb 0.544 0.334 0.567
6 Tb 0.485 0.457 0.220
7 Tb 0.234 0.750 0.232
8 Tb 0.238 0.491 0.504
9 Tb 0.529 0.984 0.762
10 Tb 0.001 0.518 0.768
11 Tb 0.734 0.988 0.496
12 Tb 0.472 0.765 0.000
13 Dy 0.745 0.471 0.474
14 Dy 0.497 0.533 0.770
15 Dy 0.994 0.497 0.234
16 Dy 0.517 0.232 0.000
17 Dy 0.761 0.264 0.766
18 Dy 0.494 0.730 0.476
19 Dy 0.223 0.779 0.762
20 Dy 0.252 0.505 0.000
21 Dy 0.018 0.254 0.524
22 Dy 0.727 0.763 0.230
23 Dy 0.271 0.997 0.526
24 Dy 0.461 0.017 0.238
25 La 0.258 0.213 0.236
26 La 0.961 0.793 0.000
27 La 0.816 0.973 0.000
28 La 0.022 0.977 0.764



#ii
A plane-wave DFT calculation with PBE-GGA was carried out for a geometry-optimized LaTb3Dy3 structure.

Properties
- space group = P6_3/m (176)
- crystal system = hexagonal

Cell: 5.725 9.624 9.624 Å, 120.00 90.00 90.00°
Fractional positions:
1 Dy 0.250 0.953 0.188
2 Dy 0.250 0.812 0.765
3 Dy 0.250 0.235 0.047
4 Dy 0.750 0.188 0.235
5 Dy 0.750 0.047 0.812
6 Dy 0.750 0.765 0.953
7 Tb 0.250 0.380 0.476
8 Tb 0.250 0.524 0.905
9 Tb 0.750 0.620 0.524
10 Tb 0.750 0.905 0.380
11 Tb 0.750 0.476 0.095
12 Tb 0.250 0.095 0.620
13 La 0.250 0.667 0.333
14 La 0.750 0.333 0.667



Bottom line: #ii, by a margin of 0.159 eV/atom.



#i
A plane-wave DFT calculation with PBE-GGA was carried out for a geometry-optimized La2Tb5Dy2 structure.

Properties
- space group = C2/m (12)
- crystal system = monoclinic

Cell: 3.507 8.299 12.644 Å, 120.18 97.97 90.00°
Fractional positions:
1 Tb 0.691 0.846 0.381
2 Tb 0.095 0.456 0.189
3 Tb 0.309 0.154 0.619
4 Tb 0.905 0.544 0.811
5 Tb 0.000 0.000 0.000
6 Dy 0.547 0.736 0.094
7 Dy 0.453 0.264 0.906
8 La 0.180 0.216 0.360
9 La 0.820 0.784 0.640



#ii
A plane-wave DFT calculation with PBE-GGA was carried out for a geometry-optimized La2Tb5Dy2 structure.

Properties
- space group = Ima2 (46)
- crystal system = orthorhombic

Cell: 11.948 6.766 10.164 Å, 109.44 126.00 90.00°
Fractional positions:
1 La 0.130 0.689 0.254
2 La 0.624 0.189 0.254
3 La 0.870 0.436 0.746
4 La 0.376 0.936 0.746
5 Dy 0.000 0.024 0.000
6 Dy 0.742 0.852 0.500
7 Dy 0.258 0.352 0.500
8 Dy 0.500 0.524 0.000
9 Tb 0.991 0.161 0.500
10 Tb 0.624 0.740 0.713
11 Tb 0.195 0.151 0.895
12 Tb 0.010 0.661 0.500
13 Tb 0.410 0.526 0.287
14 Tb 0.376 0.026 0.287
15 Tb 0.200 0.651 0.895
16 Tb 0.800 0.757 0.105
17 Tb 0.590 0.240 0.713
18 Tb 0.805 0.257 0.105



Bottom line: #ii, by a margin of 0.009 eV/atom.



#i
A plane-wave DFT calculation with PBE-GGA was carried out for a geometry-optimized LaTbDy structure.

Properties
- space group = Imm2 (44)
- crystal system = orthorhombic

Cell: 3.632 5.104 6.260 Å, 114.06 106.86 90.00°
Fractional positions:
1 Tb 0.336 0.336 0.671
2 Dy 0.998 0.998 0.996
3 La 0.667 0.667 0.333



#ii
A plane-wave DFT calculation with PBE-GGA was carried out for a geometry-optimized LaTbDy structure.

Properties
- space group = P3m1 (156)
- crystal system = trigonal

Cell: 3.620 3.620 8.836 Å, 90.00 90.00 120.00°
Fractional positions:
1 La 0.333 0.667 0.667
2 Tb 0.667 0.333 0.327
3 Dy 0.000 0.000 0.005



Bottom line: #ii, by a margin of 0.006 eV/atom.



#i
A plane-wave DFT calculation with PBE-GGA was carried out for a geometry-optimized La5TbDy3 structure.

Properties
- space group = C2/c (15)
- crystal system = monoclinic

Cell: 6.417 11.160 11.723 Å, 124.59 90.00 106.71°
Fractional positions:
1 La 0.005 0.641 0.479
2 La 0.410 0.000 0.750
3 La 0.172 0.714 0.881
4 La 0.590 0.000 0.250
5 La 0.364 0.359 0.021
6 La 0.995 0.359 0.521
7 La 0.458 0.286 0.619
8 La 0.636 0.641 0.979
9 La 0.828 0.286 0.119
10 La 0.542 0.714 0.381
11 Dy 0.064 0.655 0.176
12 Dy 0.409 0.345 0.324
13 Dy 0.000 0.000 0.000
14 Dy 0.591 0.655 0.676
15 Dy 0.000 0.000 0.500
16 Dy 0.936 0.345 0.824
17 Tb 0.107 0.000 0.250
18 Tb 0.893 0.000 0.750



#ii
A plane-wave DFT calculation with PBE-GGA was carried out for a geometry-optimized La5TbDy3 structure.

Properties
- space group = I4/mcm (140)
- crystal system = tetragonal

Cell: 9.405 9.405 9.833 Å, 118.57 118.57 90.00°
Fractional positions:
1 La 0.500 0.500 0.000
2 La 0.335 0.835 0.270
3 La 0.835 0.935 0.270
4 La 0.435 0.335 0.270
5 La 0.665 0.165 0.730
6 La 0.165 0.065 0.730
7 La 0.565 0.665 0.730
8 La 0.065 0.565 0.730
9 La 0.000 0.000 0.000
10 La 0.935 0.435 0.270
11 Dy 0.110 0.390 0.000
12 Dy 0.890 0.610 0.000
13 Dy 0.610 0.110 0.000
14 Dy 0.390 0.890 0.000
15 Dy 0.750 0.750 0.500
16 Dy 0.250 0.250 0.500
17 Tb 0.750 0.250 0.500
18 Tb 0.250 0.750 0.500



Bottom line: #i, by a margin of 0.048 eV/atom.



#i
A plane-wave DFT calculation with PBE-GGA was carried out for a geometry-optimized La3Tb2Dy4 structure.

Properties
- space group = C2/m (12)
- crystal system = monoclinic

Cell: 3.619 8.087 10.821 Å, 76.78 90.00 102.93°
Fractional positions:
1 Dy 0.667 0.334 0.110
2 Dy 0.333 0.666 0.890
3 Dy 0.000 0.001 0.331
4 Dy 0.000 0.999 0.669
5 La 0.666 0.333 0.444
6 La 0.000 0.000 0.000
7 La 0.334 0.667 0.556
8 Tb 0.333 0.666 0.220
9 Tb 0.667 0.334 0.780



#ii
A plane-wave DFT calculation with PBE-GGA was carried out for a geometry-optimized La3Tb2Dy4 structure.

Properties
- space group = C2/c (15)
- crystal system = monoclinic

Cell: 6.185 11.306 11.306 Å, 63.29 63.22 63.22°
Fractional positions:
1 Tb 0.424 0.264 0.513
2 Tb 0.076 0.487 0.736
3 Tb 0.924 0.513 0.264
4 Tb 0.576 0.736 0.487
5 Dy 0.077 0.821 0.067
6 Dy 0.577 0.067 0.821
7 Dy 0.919 0.846 0.601
8 Dy 0.419 0.601 0.846
9 Dy 0.081 0.154 0.399
10 Dy 0.423 0.933 0.179
11 Dy 0.923 0.179 0.933
12 Dy 0.581 0.399 0.154
13 La 0.753 0.033 0.298
14 La 0.250 0.630 0.370
15 La 0.253 0.298 0.033
16 La 0.247 0.967 0.702
17 La 0.747 0.702 0.967
18 La 0.750 0.370 0.630



Bottom line: #i, by a margin of 0.079 eV/atom.



#i
A plane-wave DFT calculation with PBE-GGA was carried out for a geometry-optimized LaTb2Dy7 structure.

Properties
- space group = P-1 (2)
- crystal system = triclinic

Cell: 6.178 7.976 7.978 Å, 90.04 104.91 121.11°
Fractional positions:
1 Dy 0.500 0.500 0.000
2 Dy 0.000 0.402 0.202
3 Dy 0.000 0.799 0.401
4 Dy 0.000 0.598 0.798
5 Dy 0.000 0.201 0.599
6 Dy 0.500 0.100 0.798
7 Dy 0.500 0.900 0.202
8 Tb 0.499 0.699 0.599
9 Tb 0.501 0.301 0.401
10 La 0.000 0.000 0.000



#ii
A plane-wave DFT calculation with PBE-GGA was carried out for a geometry-optimized LaTb2Dy7 structure.

Properties
- space group = Cmmm (65)
- crystal system = orthorhombic

Cell: 5.645 9.170 9.171 Å, 123.13 90.00 90.00°
Fractional positions:
1 Dy 0.500 0.939 0.707
2 Dy 0.000 0.780 0.220
3 Dy 0.500 0.061 0.293
4 Dy 0.000 0.220 0.780
5 Dy 0.500 0.500 0.500
6 Dy 0.500 0.293 0.061
7 Dy 0.500 0.707 0.939
8 La 0.000 0.000 0.000
9 Tb 0.500 0.297 0.703
10 Tb 0.500 0.703 0.297



Bottom line: #i, by a margin of 0.668 eV/atom.



#i
A plane-wave DFT calculation with PBE-GGA was carried out for a geometry-optimized La4Tb5Dy structure.

Properties
- space group = I4mm (107)
- crystal system = tetragonal

Cell: 6.133 8.163 8.163 Å, 81.89 67.94 67.94°
Fractional positions:
1 La 0.761 0.677 0.676
2 La 0.438 0.676 0.323
3 La 0.114 0.323 0.324
4 La 0.437 0.324 0.677
5 Tb 0.150 0.000 0.623
6 Tb 0.772 0.000 0.377
7 Tb 0.696 0.000 0.000
8 Tb 0.772 0.377 0.000
9 Tb 0.149 0.623 0.000
10 Dy 0.221 0.000 0.000



#ii
A plane-wave DFT calculation with PBE-GGA was carried out for a geometry-optimized La4Tb5Dy structure.

Properties
- space group = C2/m (12)
- crystal system = monoclinic

Cell: 3.562 11.475 8.817 Å, 89.97 101.65 90.00°
Fractional positions:
1 Tb 0.827 0.049 0.655
2 Tb 0.173 0.951 0.345
3 Tb 0.500 0.500 0.000
4 Tb 0.827 0.450 0.654
5 Tb 0.173 0.550 0.346
6 La 0.033 0.750 0.065
7 La 0.662 0.250 0.323
8 La 0.338 0.750 0.677
9 La 0.967 0.250 0.935
10 Dy 0.500 0.000 0.000



Bottom line: #ii, by a margin of 0.034 eV/atom.